Material: OsAu
Method: DFT, PBE
State: relaxed

Cell: 6.4877 6.4877 5.6671 Å, 76.13 76.13 25.07°
Last column: nearest neighbours and their distance in Å.
Atoms (fractional coordinates):
Os 0.9430 0.9430 0.5639  6 Os 2.59-2.82, 2 Au 2.84-2.89
Os 0.3132 0.3132 0.8989  5 Os 2.60-2.82, 4 Au 2.79-2.89
Os 0.3145 0.3145 0.3704  5 Os 2.59-2.82, 4 Au 2.79-2.86
Au 0.6503 0.6503 0.7178  6 Au 2.76-2.92, 4 Os 2.86-2.89
Au 0.9770 0.9770 0.0415  6 Os 2.79-2.89, 6 Au 2.82-2.90
Au 0.6353 0.6353 0.2409  6 Au 2.76-2.92, 6 Os 2.91-3.01

Properties
N(E_F)	0.78	states/eV/atom
DFT formation energy	1.1	eV/f.u.
magnetic moment	0.00	μB per atom
total DFT energy (no corrections)	-6.724	eV per atom

=====

Material: AlZn2Re
Method: DFT, PBE
State: relaxed

Cell: 4.8188 4.8188 4.8215 Å, 83.64 83.64 32.11°
Last column: nearest neighbours and their distance in Å.
Atoms (fractional coordinates):
Zn 0.7484 0.7484 0.7651  5 Zn 2.62-2.83, 1 Al 2.74, 4 Re 2.75-2.76
Zn 0.9920 0.9920 0.9906  5 Zn 2.62-2.83, 4 Al 2.73-2.79, 3 Re 2.80-2.87
Re 0.2506 0.2506 0.2650  2 Re 2.67, 3 Al 2.71, 7 Zn 2.75-2.87
Al 0.5089 0.5089 0.4793  2 Al 2.67, 3 Re 2.71, 7 Zn 2.73-2.95

Properties
N(E_F)	0.27	states/eV/atom
DFT formation energy	0.2	eV/f.u.
magnetic moment	0.00	μB per atom
total DFT energy (no corrections)	-4.623	eV per atom

=====

Material: SrFeAg2
Method: DFT, PBE
State: relaxed

Cell: 5.0762 5.0762 9.5311 Å, 74.56 74.56 90.00°
Last column: nearest neighbours and their distance in Å.
Atoms (fractional coordinates):
Fe 0.2500 0.7500 0.5000  4 Ag 2.58
Fe 0.5000 0.5000 0.0000  4 Ag 2.58
Ag 0.4515 0.1250 0.2500  2 Fe 2.58, 2 Ag 2.65
Ag 0.8750 0.7015 0.7500  2 Fe 2.58, 2 Ag 2.65
Ag 0.3750 0.5485 0.7500  2 Fe 2.58, 2 Ag 2.65
Ag 0.2985 0.6250 0.2500  2 Fe 2.58, 2 Ag 2.65
Sr 0.0000 0.0000 0.0000  4 Ag 3.33, 4 Fe 3.59
Sr 0.7500 0.2500 0.5000  4 Ag 3.33, 4 Fe 3.59

Properties
N(E_F)	1.13	states/eV/atom
DFT formation energy	1.9	eV/f.u.
magnetic moment	0.71	μB per atom
total DFT energy (no corrections)	-3.491	eV per atom

=====

Material: Cr2TcP
Method: DFT, PBE
State: relaxed

Cell: 2.6697 2.6697 7.4370 Å, 90.00 90.00 108.97°
Last column: nearest neighbours and their distance in Å.
Atoms (fractional coordinates):
Tc 0.5000 0.5000 0.7500  4 Cr 2.57, 4 Tc 2.67
Cr 0.0000 0.0000 0.4741  2 P 2.28
Cr 0.0000 0.0000 0.0259  2 P 2.28
P 0.5000 0.5000 0.2500  4 Cr 2.28

Properties
N(E_F)	1.17	states/eV/atom
DFT formation energy	0.3	eV/f.u.
magnetic moment	0.00	μB per atom
total DFT energy (no corrections)	-8.677	eV per atom

=====

- Among the records above, which one has the highest DFT formation energy?
  SrFeAg2